Compound: VBRu
Source: the Alexandria database
Functional: GGA-PBE
Structure: optimized geometry

Formation enthalpy at 0 K, eV per atom: -0.340
Fermi-level density of states, states/eV per cell: 5.9
M_tot, μB/cell: 0.0
ΔE to the lowest computed polymorph, meV per atom: 163

Geometry as POSCAR:
```
VBRu
1.0
5.7002 0.0000 0.0014
0.0000 2.9537 0.0000
-0.0446 0.0000 8.0599
Ru B V
4 4 4
Direct
0.2601 0.0000 0.6216
0.2601 0.5000 0.1216
0.7732 0.0000 0.6318
0.7732 0.5000 0.1318
0.7678 0.0000 0.9182
0.7678 0.5000 0.4182
0.5124 0.0000 0.0469
0.5124 0.5000 0.5469
0.0340 0.0000 0.3483
0.0340 0.5000 0.8483
0.5040 0.0000 0.3349
0.5040 0.5000 0.8349
```



Compound: V2BRu
Source: the Alexandria database
Functional: GGA-PBE
Structure: optimized geometry

Formation enthalpy at 0 K, eV per atom: -0.169
Fermi-level density of states, states/eV per cell: 4.2
M_tot, μB/cell: 0.0

Geometry as POSCAR:
```
V2BRu
1.0
-1.2987 2.6552 -0.1924
-2.4707 -1.2818 -1.0130
-1.7743 -0.5078 4.9700
Ru B V
1 1 2
Direct
0.5000 0.5000 0.5000
0.5000 0.5000 0.0000
0.0000 0.0000 0.7933
0.0000 0.0000 0.2067
```



Compound: VB2Ru5W2
Source: the Alexandria database
Functional: GGA-PBE
Structure: optimized geometry

Formation enthalpy at 0 K, eV per atom: -0.241
Fermi-level density of states, states/eV per cell: 15.4
M_tot, μB/cell: 0.3

Geometry as POSCAR:
```
VB2Ru5W2
1.0
2.8929 0.0000 0.0000
0.0000 9.3642 0.0000
0.0000 0.0000 9.3642
V B Ru W
2 4 10 4
Direct
0.0000 0.0000 0.0000
0.0000 0.5000 0.5000
0.0000 0.1244 0.6244
0.0000 0.8756 0.3756
0.0000 0.6244 0.8756
0.0000 0.3756 0.1244
0.5000 0.2139 0.0685
0.5000 0.7861 0.9315
0.5000 0.0685 0.7861
0.5000 0.7139 0.4315
0.5000 0.9315 0.2139
0.5000 0.2861 0.5685
0.5000 0.5685 0.7139
0.5000 0.4315 0.2861
0.5000 0.5000 0.0000
0.5000 0.0000 0.5000
0.0000 0.6791 0.1791
0.0000 0.3209 0.8209
0.0000 0.1791 0.3209
0.0000 0.8209 0.6791
```



Compound: ZrV2BRu
Source: the Alexandria database
Functional: GGA-PBE
Structure: optimized geometry

Formation enthalpy at 0 K, eV per atom: 2.516
Fermi-level density of states, states/eV per cell: 5.7
M_tot, μB/cell: 0.8

Geometry as POSCAR:
```
ZrV2BRu
1.0
-1.9738 -0.7345 4.1258
2.9351 -3.5493 0.7723
3.0142 2.9194 1.9618
Ru B Zr V
1 1 1 2
Direct
0.0000 0.5000 0.0000
0.5000 0.5000 0.5000
0.0000 0.0000 0.0000
0.0000 0.0000 0.5000
0.5000 0.0000 0.0000
```